No. 1
This record from the Alexandria database describes a relaxed structure of Li6Cd5Si. The functional is PBE.

The structure in extended XYZ format:
```
12
Lattice="2.3129 -6.9595 0.0000 2.3129 6.9595 0.0000 0.0000 0.0000 6.5227" Properties=species:S:1:pos:R:3 pbc="T T T"
Li 0.0000 0.0000 1.5191
Li 0.0000 0.0000 5.0035
Li 2.3129 2.2135 1.5638
Li 2.3129 2.2135 4.9589
Li 2.3129 -2.2135 1.5638
Li 2.3129 -2.2135 4.9589
Cd 2.3129 4.6056 0.0000
Cd 2.3129 4.5840 3.2613
Cd 2.3129 0.0000 3.2613
Cd 2.3129 -4.5840 3.2613
Cd 2.3129 -4.6056 0.0000
Si 2.3129 0.0000 0.0000
```

Properties
**Raw formation energy**: -0.215 eV per atom
**SG**: Cmmm
**Size of the total moment**: 0.00 μB per formula unit

---

No. 2
This record from the Alexandria database describes a relaxed structure of NaZrCu2. The functional is PBE.

The structure in extended XYZ format:
```
4
Lattice="0.0000 3.2617 3.2617 3.2617 0.0000 3.2617 3.2617 3.2617 0.0000" Properties=species:S:1:pos:R:3 pbc="T T T"
Na 0.0000 0.0000 0.0000
Zr 3.2617 3.2617 3.2617
Cu 1.6308 1.6308 1.6308
Cu 4.8925 4.8925 4.8925
```

Properties
**SG**: Fm-3m
**Size of the total moment**: 0.00 μB per formula unit
**Formation energy**: 0.2457 eV per atom

---

No. 3
This record from the Alexandria database describes a relaxed structure of RbNaBr2. The functional is PBE.

The structure in extended XYZ format:
```
4
Lattice="0.0000 3.9997 3.9997 3.9997 0.0000 3.9997 3.9997 3.9997 0.0000" Properties=species:S:1:pos:R:3 pbc="T T T"
Rb 0.0000 0.0000 0.0000
Na 3.9997 3.9997 3.9997
Br 1.9999 1.9999 1.9999
Br 5.9996 5.9996 5.9996
```

Properties
**Raw formation energy**: -1.505 eV per atom
**SG**: Fm-3m
**Size of the total moment**: 0.00 μB per formula unit

---

No. 4
This record from the Alexandria database describes a relaxed structure of KNp2Tl3S6. The functional is PBE.

The structure in extended XYZ format:
```
12
Lattice="9.6371 -2.0465 0.0000 9.6371 2.0465 0.0000 -2.3323 0.0000 8.5668" Properties=species:S:1:pos:R:3 pbc="T T T"
K 0.0000 0.0000 0.0000
Np 4.7463 0.0000 5.6972
Np 12.1956 0.0000 2.8696
Tl -1.1662 0.0000 4.2834
Tl 6.1343 0.0000 1.4781
Tl 10.8076 0.0000 7.0887
S 3.1319 0.0000 1.1656
S 2.2019 0.0000 4.6968
S 7.2144 0.0000 6.2296
S 9.7274 0.0000 2.3373
S 14.7400 0.0000 3.8700
S 13.8100 0.0000 7.4013
```

Properties
**Raw formation energy**: -0.965 eV per atom
**SG**: C2/m
**Size of the total moment**: 6.00 μB per formula unit

---

No. 5
This record from the Alexandria database describes a relaxed structure of InGe2Cl6. The functional is PBE.

The structure in extended XYZ format:
```
18
Lattice="7.4215 -5.5732 0.0000 7.4215 5.5732 0.0000 -4.7921 0.0000 8.2773" Properties=species:S:1:pos:R:3 pbc="T T T"
In 3.8274 4.7471 6.2080
In 6.2234 -4.7471 2.0693
Ge 0.8620 0.6696 6.4220
Ge 3.2581 -0.6696 2.2834
Ge 6.7928 0.6696 5.9939
Ge 9.1888 -0.6696 1.8553
Cl -1.0877 1.1757 5.3132
Cl 1.5191 2.7953 6.9340
Cl 1.3084 -1.1757 1.1745
Cl 2.3389 0.0762 4.4984
Cl 4.7350 -0.0762 0.3598
Cl 6.1356 2.7953 5.4820
Cl 3.9152 -2.7953 2.7953
Cl 5.3159 0.0762 7.9175
Cl 7.7119 -0.0762 3.7789
Cl 8.7424 1.1757 7.1028
Cl 8.5317 -2.7953 1.3433
Cl 11.1385 -1.1757 2.9641
```

Properties
**Raw formation energy**: -0.763 eV per atom
**SG**: C2/c
**Size of the total moment**: 0.00 μB per formula unit

---

No. 6
This record from the Alexandria database describes a relaxed structure of Pm2PbAu8. The functional is PBE.

The structure in extended XYZ format:
```
11
Lattice="3.9425 -7.6858 0.0000 3.9425 7.6858 0.0000 -3.3799 0.0000 4.0720" Properties=species:S:1:pos:R:3 pbc="T T T"
Pm 3.9425 4.8696 0.0000
Pm 3.9425 -4.8696 0.0000
Pb 2.2525 0.0000 2.0360
Au -2.4229 0.0000 3.1475
Au -0.4012 2.0685 3.0453
Au 2.2525 3.1032 2.0360
Au -0.4012 -2.0685 3.0453
Au 4.9062 2.0685 1.0267
Au 2.2525 -3.1032 2.0360
Au 4.9062 -2.0685 1.0267
Au 6.9280 0.0000 0.9245
```

Properties
**SG**: C2/m
**Size of the total moment**: 0.00 μB per formula unit
**Formation energy**: -0.4792 eV per atom

---

No. 7
This record from the Alexandria database describes a relaxed structure of LiThH6Pd. The functional is PBE.

The structure in extended XYZ format:
```
9
Lattice="4.4857 0.0000 0.0000 -2.2428 3.8847 0.0000 0.0000 0.0000 4.4791" Properties=species:S:1:pos:R:3 pbc="T T T"
Li 0.0000 0.0000 0.0000
Th 2.2429 1.2949 2.2396
H 0.0000 1.3028 1.2904
H 0.0000 1.3028 3.1888
H -1.1146 3.2333 1.2904
H -1.1146 3.2333 3.1888
H 1.1146 3.2333 1.2904
H 1.1146 3.2333 3.1888
Pd 0.0000 2.5898 0.0000
```

Properties
**SG**: P-6m2
**Size of the total moment**: 0.00 μB per formula unit
**Calculated total energy**: -4.143 eV/atom

---

No. 8
This record from the Alexandria database describes a relaxed structure of ScBAuN2. The functional is PBE.

The structure in extended XYZ format:
```
5
Lattice="3.5775 0.0000 0.0000 0.0000 3.5775 0.0000 0.0000 0.0000 4.8088" Properties=species:S:1:pos:R:3 pbc="T T T"
Sc 0.0000 0.0000 0.0000
B 0.0000 0.0000 2.4044
Au 1.7888 1.7888 0.0000
N 0.0000 1.7888 2.4044
N 1.7888 0.0000 2.4044
```

Properties
**Raw formation energy**: 1.169 eV per atom
**SG**: P4/mmm
**Size of the total moment**: 0.11 μB per formula unit

---

- The highest size of the total moment belongs to which entry?
  KNp2Tl3S6

---

- Look up the size of the total moment of the sixth one.
  0.00 μB per formula unit

---

- The highest size of the total moment belongs to which entry?
  KNp2Tl3S6